Compound: NaNi2S2
Source: Alexandria via LeMat-Bulk
Functional: PBE
Structure: relaxed

CIF file:
```
data_NaNi2S2
_chemical_formula_sum 'Na2 Ni4 S4'
_cell_length_a 4.360
_cell_length_b 4.360
_cell_length_c 8.695
_cell_angle_alpha 90.00
_cell_angle_beta 90.00
_cell_angle_gamma 90.00
_space_group_name_H-M_alt 'I 4/m m m'
_space_group_IT_number 139
_space_group_name_Hall '-I 4 2'
loop_
_atom_site_label
_atom_site_type_symbol
_atom_site_fract_x
_atom_site_fract_y
_atom_site_fract_z
Na1 Na 0.000 0.000 0.000
Ni1 Ni 0.000 0.000 0.323
S1 S 0.000 0.500 0.250
```

Summary:
DOS(E_F) = 3.56 states/eV/cell
electronic total energy = -0.169 Ha/atom
raw formation energy = -0.374 eV per atom